Cu3GeTe | PBE-GGA | relaxed

Unit cell a=4.8751 b=4.8751 c=4.8751 alpha=90.00 beta=90.00 gamma=90.00
Last column: nearest neighbours and their distance in Å.
Atoms (fractional coordinates):
1 Cu 0.0000 0.0000 0.5000  2 Te 2.44
2 Cu 0.0000 0.5000 0.0000  2 Te 2.44
3 Cu 0.5000 0.0000 0.0000  2 Te 2.44
4 Ge 0.5000 0.5000 0.5000  12 Cu 3.45
5 Te 0.0000 0.0000 0.0000  6 Cu 2.44

Summary:
Total magnetization: 0.0 μB per formula unit
Energy above the lowest structure with this stoichiometry: 0.313 eV per atom
Formation energy from raw total energies: 0.8635 eV per atom

=====

Rb2HgF8 | PBE-GGA | relaxed

Unit cell a=6.4694 b=6.4694 c=6.9636 alpha=115.06 beta=115.06 gamma=60.68
Last column: nearest neighbours and their distance in Å.
Atoms (fractional coordinates):
1 Rb 0.2388 0.2388 0.2395  5 F 2.82-2.94
2 Rb 0.7612 0.7612 0.7605  5 F 2.82-2.94
3 Hg 0.5000 0.5000 0.0000  6 F 2.11-2.14
4 F 0.0751 0.0751 0.5504  1 F 1.47
5 F 0.1908 0.6476 0.1189  1 Hg 2.11
6 F 0.3146 0.3146 0.6899  1 Hg 2.14, 1 F 2.35
7 F 0.3524 0.8092 0.8811  1 Hg 2.11
8 F 0.6476 0.1908 0.1189  1 Hg 2.11
9 F 0.6854 0.6854 0.3101  1 Hg 2.14, 1 F 2.35
10 F 0.8092 0.3524 0.8811  1 Hg 2.11
11 F 0.9249 0.9249 0.4496  1 F 1.47

Summary:
Total magnetization: 2.0 μB per formula unit
Formation energy from raw total energies: -1.4837 eV per atom

=====

Tl4NiBr | PBE-GGA | relaxed

Unit cell a=6.4154 b=6.4154 c=6.4154 alpha=60.00 beta=60.00 gamma=60.00
Last column: nearest neighbours and their distance in Å.
Atoms (fractional coordinates):
1 Tl 0.1254 0.1254 0.1254  6 Tl 3.20-3.22
2 Tl 0.1254 0.1254 0.6239  6 Tl 3.20-3.22
3 Tl 0.1254 0.6239 0.1254  6 Tl 3.20-3.22
4 Tl 0.6239 0.1254 0.1254  6 Tl 3.20-3.22
5 Ni 0.5000 0.5000 0.5000  12 Tl 3.76, 4 Br 3.93
6 Br 0.7500 0.7500 0.7500  12 Tl 3.76, 4 Ni 3.93

Summary:
Total magnetization: 0.8 μB per formula unit
Formation energy from raw total energies: 0.4201 eV per atom